A relaxed AlSnI2 crystal. Source: the Alexandria database, functional PBE.

Output
Size of the total moment = 0.00 μB per cell
Density of states at the Fermi level = 0.430 states/eV/atom
Volume = 31.300 Å³/atom
Uncorrected formation energy = 0.096 eV per atom
Crystal system = cubic
Energy above the lowest structure with this stoichiometry = 0 meV per atom

```
data_AlSnI2
_cell_length_a 7.9412
_cell_length_b 7.9412
_cell_length_c 7.9412
_cell_angle_alpha 90.00
_cell_angle_beta 90.00
_cell_angle_gamma 90.00
_space_group_name_H-M_alt 'P 1'
_space_group_IT_number 1
_space_group_name_Hall 'P 1'
loop_
_atom_site_label
_atom_site_fract_x
_atom_site_fract_y
_atom_site_fract_z
_atom_site_occupancy
Al1 0.0000 0.0000 0.0000 1
Al2 0.0000 0.5000 0.5000 1
Al3 0.5000 0.0000 0.5000 1
Al4 0.5000 0.5000 0.0000 1
Sn1 0.0000 0.0000 0.5000 1
Sn2 0.0000 0.5000 0.0000 1
Sn3 0.5000 0.0000 0.0000 1
Sn4 0.5000 0.5000 0.5000 1
I1 0.2500 0.2500 0.2500 1
I2 0.2500 0.2500 0.7500 1
I3 0.2500 0.7500 0.2500 1
I4 0.2500 0.7500 0.7500 1
I5 0.7500 0.2500 0.2500 1
I6 0.7500 0.2500 0.7500 1
I7 0.7500 0.7500 0.2500 1
I8 0.7500 0.7500 0.7500 1
```